## CaPm2OsO8 (PBE-GGA)

Data for CaPm2OsO8 after structural relaxation.

Unit cell a=5.128 b=7.053 c=5.129 alpha=90.00 beta=90.81 gamma=90.00
Positions (direct):
Ca 0.000 0.000 0.000
Pm 0.500 0.244 0.500
Pm 0.500 0.756 0.500
Os 0.000 0.500 0.000
O 0.179 0.309 0.823
O 0.179 0.691 0.823
O 0.260 0.500 0.263
O 0.307 0.000 0.308
O 0.693 0.000 0.692
O 0.740 0.500 0.737
O 0.821 0.309 0.177
O 0.821 0.691 0.177

Output
calculated volume	15.5	Å³/atom
raw formation energy	-2259	meV per atom

## AlPd3 (PBE-GGA)

Data for AlPd3 after structural relaxation.

Unit cell a=7.432 b=7.432 c=7.432 alpha=96.34 beta=96.34 gamma=141.18
Positions (direct):
Al 0.019 0.201 0.758
Al 0.443 0.262 0.242
Al 0.738 0.981 0.181
Al 0.799 0.557 0.819
Pd 0.120 0.598 0.688
Pd 0.185 0.281 0.467
Pd 0.248 0.410 0.119
Pd 0.282 0.815 0.096
Pd 0.291 0.129 0.881
Pd 0.402 0.090 0.522
Pd 0.568 0.880 0.478
Pd 0.590 0.709 0.838
Pd 0.719 0.186 0.904
Pd 0.814 0.718 0.533
Pd 0.871 0.752 0.162
Pd 0.910 0.432 0.312

Output
calculated volume	15.2	Å³/atom
density of states at the Fermi level	5.396	states/eV/cell
energy of formation from the pure elements	-0.61	eV/atom

## ScBe3W (PBE-GGA)

Data for ScBe3W after structural relaxation.

Unit cell a=4.122 b=4.122 c=4.122 alpha=90.00 beta=90.00 gamma=90.00
Positions (direct):
Sc 0.000 0.000 0.000
Be 0.000 0.000 0.500
Be 0.000 0.500 0.000
Be 0.500 0.000 0.000
W 0.500 0.500 0.500

Output
calculated volume	14.0	Å³/atom
ΔE to the lowest computed polymorph	1.196	eV/atom
density of states at the Fermi level	3.315	states/eV/cell
energy of formation from the pure elements	1.98	eV/atom

## Ni2SnPb (PBE-GGA)

Data for Ni2SnPb after structural relaxation.

Unit cell a=4.640 b=4.640 c=4.640 alpha=60.00 beta=60.00 gamma=60.00
Positions (direct):
Ni 0.250 0.250 0.250
Ni 0.750 0.750 0.750
Sn 0.000 0.000 0.000
Pb 0.500 0.500 0.500

Output
calculated volume	17.7	Å³/atom
ΔE to the lowest computed polymorph	0.000	eV/atom
density of states at the Fermi level	2.822	states/eV/cell
energy of formation from the pure elements	0.19	eV/atom

## Cr2TePt (PBE-GGA)

Data for Cr2TePt after structural relaxation.

Unit cell a=4.911 b=4.911 c=4.911 alpha=129.60 beta=129.60 gamma=74.05
Positions (direct):
Cr 0.250 0.750 0.500
Cr 0.750 0.250 0.500
Te 0.000 0.000 0.000
Pt 0.500 0.500 0.000

Output
calculated volume	17.1	Å³/atom
raw formation energy	233	meV per atom
density of states at the Fermi level	3.270	states/eV/cell

## ZnPOs2Ru (PBE-GGA)

Data for ZnPOs2Ru after structural relaxation.

Unit cell a=4.653 b=4.653 c=4.605 alpha=90.00 beta=90.00 gamma=90.00
Positions (direct):
Zn 0.000 0.000 0.000
P 0.500 0.500 0.000
Os 0.000 0.500 0.500
Os 0.500 0.000 0.500
Ru 0.000 0.000 0.500

Output
calculated volume	19.9	Å³/atom
density of states at the Fermi level	4.552	states/eV/cell
energy of formation from the pure elements	1.88	eV/atom

## NbHOs (PBE-GGA)

Data for NbHOs after structural relaxation.

Unit cell a=3.029 b=3.029 c=7.797 alpha=90.00 beta=90.00 gamma=90.00
Positions (direct):
Nb 0.250 0.250 0.174
Nb 0.750 0.750 0.826
H 0.250 0.750 0.000
H 0.750 0.250 0.000
Os 0.250 0.250 0.617
Os 0.750 0.750 0.383

Output
calculated volume	11.9	Å³/atom
ΔE to the lowest computed polymorph	0.057	eV/atom
density of states at the Fermi level	4.882	states/eV/cell

## Th2Mg2Hg3 (PBE-GGA)

Data for Th2Mg2Hg3 after structural relaxation.

Unit cell a=15.262 b=15.262 c=3.428 alpha=90.00 beta=90.00 gamma=166.96
Positions (direct):
Th 0.075 0.925 0.000
Th 0.925 0.075 0.000
Mg 0.207 0.793 0.000
Mg 0.793 0.207 0.000
Hg 0.349 0.651 0.500
Hg 0.500 0.500 0.500
Hg 0.651 0.349 0.500

Output
calculated volume	25.7	Å³/atom
density of states at the Fermi level	6.294	states/eV/cell
energy of formation from the pure elements	-0.16	eV/atom